Material: Ni2WSe
Method: DFT, PBE-GGA
State: optimized geometry Values from VASP.

```
&SYSTEM
  ibrav = 0, nat = 4, ntyp = 3
/
ATOMIC_SPECIES
Ni 58.69 Ni.upf
W 183.84 W.upf
Se 78.96 Se.upf
CELL_PARAMETERS angstrom
4.380 -1.485 0.000
4.380 1.485 0.000
-0.895 0.000 4.270
ATOMIC_POSITIONS angstrom
Ni 1.938 0.000 0.986
Ni 5.927 0.000 3.284
W 4.380 0.000 0.000
Se -0.448 0.000 2.135
```

## Properties
Formation energy (no corrections) ... 345 meV/atom